# 1
Ac2PmC | PBE | relaxed

Cell and atoms, written as POSCAR:
```
Ac2PmC
1.0
2.0292 1.1715 10.7489
-2.0292 1.1715 10.7489
0.0000 -2.3431 10.7489
Ac Pm C
2 1 1
Direct
0.0726 0.0726 0.0726
0.9274 0.9274 0.9274
0.5000 0.5000 0.5000
0.0000 0.0000 0.0000
```

spin magnetization	1.027	μB per formula unit
V	38.33	Å³/atom
space-group type	R-3m
N(E_F)	5.27	states/eV/f.u.
DFT formation energy	1060.4	meV/atom

***

# 2
AcPmC | PBE | relaxed

Cell and atoms, written as POSCAR:
```
AcPmC
1.0
3.7859 0.0000 0.0000
-1.8929 3.2787 0.0000
0.0000 0.0000 6.8660
Ac Pm C
1 1 1
Direct
0.0000 0.0000 0.0000
0.3333 0.6667 0.5754
0.6667 0.3333 0.7616
```

spin magnetization	0.000	μB per formula unit
excess energy over the best structure of this formula in the dataset	0	meV per atom
V	28.41	Å³/atom
space-group type	P3m1
N(E_F)	2.20	states/eV/f.u.
DFT formation energy	-8.8	meV/atom

***

# 3
AcPm2C | PBE | relaxed

Cell and atoms, written as POSCAR:
```
AcPm2C
1.0
5.6438 0.0000 0.0000
0.0000 11.6154 0.0000
0.0000 0.0000 3.6944
Ac Pm C
2 4 2
Direct
0.2500 0.2500 0.2468
0.7500 0.7500 0.7532
0.2500 0.6012 0.2525
0.2500 0.8988 0.2525
0.7500 0.1012 0.7475
0.7500 0.3988 0.7475
0.2500 0.7500 0.7531
0.7500 0.2500 0.2469
```

spin magnetization	0.000	μB per formula unit
excess energy over the best structure of this formula in the dataset	91	meV per atom
V	30.27	Å³/atom
space-group type	Pmmn
N(E_F)	4.80	states/eV/f.u.
DFT formation energy	40.3	meV/atom

***

# 4
AcPmC | PBE | relaxed

Cell and atoms, written as POSCAR:
```
AcPmC
1.0
-1.6933 1.6933 6.5828
1.6933 -1.6933 6.5828
1.6933 1.6933 -6.5828
Ac Pm C
1 1 1
Direct
0.0000 0.0000 0.0000
0.2223 0.2223 0.0000
0.6160 0.6160 0.0000
```

spin magnetization	0.000	μB per formula unit
excess energy over the best structure of this formula in the dataset	455	meV per atom
V	25.17	Å³/atom
space-group type	I4mm
N(E_F)	1.38	states/eV/f.u.
DFT formation energy	445.7	meV/atom

***

# 5
AcPm2C | PBE | relaxed

Cell and atoms, written as POSCAR:
```
AcPm2C
1.0
1.8812 1.0861 9.6101
-1.8812 1.0861 9.6101
0.0000 -2.1723 9.6101
Ac Pm C
1 2 1
Direct
0.0000 0.0000 0.0000
0.5443 0.5443 0.5443
0.7811 0.7811 0.7811
0.1633 0.1633 0.1633
```

spin magnetization	0.000	μB per formula unit
excess energy over the best structure of this formula in the dataset	0	meV per atom
V	29.45	Å³/atom
space-group type	R3m
N(E_F)	4.58	states/eV/f.u.
DFT formation energy	-50.3	meV/atom

***

# 6
AcPm3C8 | PBE | relaxed

Cell and atoms, written as POSCAR:
```
AcPm3C8
1.0
-3.6020 3.6020 4.0346
3.6020 -3.6020 4.0346
3.6020 3.6020 -4.0346
Ac Pm C
1 3 8
Direct
0.0000 0.0000 0.0000
0.2500 0.7500 0.5000
0.5000 0.5000 0.0000
0.7500 0.2500 0.5000
0.0818 0.0818 0.6500
0.1186 0.5757 0.0000
0.4243 0.4243 0.5429
0.4319 0.4319 0.3500
0.5681 0.9182 0.0000
0.5757 0.1186 0.0000
0.8814 0.8814 0.4571
0.9182 0.5681 0.0000
```

spin magnetization	0.000	μB per formula unit
V	17.45	Å³/atom
space-group type	I-42m
N(E_F)	3.37	states/eV/f.u.
DFT formation energy	136.6	meV/atom